Density functional theory data (GGA-PBE) for crystalline HfBr2N at its relaxed geometry.

Properties
ΔE to the lowest computed polymorph ... 1478 meV per atom
DOS(E_F) ... 2.15 states/eV per cell

Unit cell a=3.683 b=3.683 c=32.916 alpha=90.00 beta=90.00 gamma=120.00
Fractional coordinates of all 12 atoms:
1 Hf 0.000 0.000 0.000
2 Hf 0.333 0.667 0.667
3 Hf 0.667 0.333 0.333
4 Br 0.000 0.000 0.075
5 Br 0.000 0.000 0.925
6 Br 0.333 0.667 0.592
7 Br 0.333 0.667 0.741
8 Br 0.667 0.333 0.259
9 Br 0.667 0.333 0.408
10 N 0.000 0.000 0.500
11 N 0.333 0.667 0.167
12 N 0.667 0.333 0.833

Density functional theory data (GGA-PBE) for crystalline HfBrN at its relaxed geometry.

Properties
DOS(E_F) ... 0.00 states/eV per cell

Unit cell a=13.868 b=3.531 c=6.426 alpha=90.00 beta=109.40 gamma=90.00
Fractional coordinates of all 12 atoms:
1 Hf 0.247 0.000 0.307
2 Hf 0.253 0.500 0.693
3 Hf 0.747 0.500 0.307
4 Hf 0.753 0.000 0.693
5 Br 0.124 0.000 0.832
6 Br 0.376 0.500 0.168
7 Br 0.624 0.500 0.832
8 Br 0.876 0.000 0.168
9 N 0.183 0.500 0.361
10 N 0.317 0.000 0.639
11 N 0.683 0.000 0.361
12 N 0.817 0.500 0.639

Density functional theory data (GGA-PBE) for crystalline Hf3BrN at its relaxed geometry.

Properties
ΔE to the lowest computed polymorph ... 0 meV per atom
DOS(E_F) ... 4.89 states/eV per cell

Unit cell a=4.495 b=4.495 c=4.495 alpha=90.00 beta=90.00 gamma=90.00
Fractional coordinates of all 5 atoms:
1 Hf 0.000 0.000 0.500
2 Hf 0.000 0.500 0.000
3 Hf 0.500 0.000 0.000
4 Br 0.500 0.500 0.500
5 N 0.000 0.000 0.000

Density functional theory data (GGA-PBE) for crystalline HfBrN at its relaxed geometry.

Properties
DOS(E_F) ... 0.00 states/eV per cell

Unit cell a=3.578 b=4.131 c=9.553 alpha=90.00 beta=90.00 gamma=90.00
Fractional coordinates of all 6 atoms:
1 Hf 0.250 0.250 0.090
2 Hf 0.750 0.750 0.910
3 Br 0.250 0.750 0.691
4 Br 0.750 0.250 0.309
5 N 0.250 0.750 0.032
6 N 0.750 0.250 0.968

Density functional theory data (GGA-PBE) for crystalline HfBr3N at its relaxed geometry.

Properties
ΔE to the lowest computed polymorph ... 0 meV per atom
DOS(E_F) ... 2.43 states/eV per cell

Unit cell a=5.270 b=5.270 c=5.270 alpha=90.00 beta=90.00 gamma=90.00
Fractional coordinates of all 5 atoms:
1 Hf 0.000 0.000 0.000
2 Br 0.000 0.000 0.500
3 Br 0.000 0.500 0.000
4 Br 0.500 0.000 0.000
5 N 0.500 0.500 0.500

Density functional theory data (GGA-PBE) for crystalline HfBr4N2 at its relaxed geometry.

Unit cell a=3.917 b=7.225 c=10.451 alpha=78.99 beta=79.22 gamma=74.38
Fractional coordinates of all 7 atoms:
1 Hf 0.000 0.000 0.000
2 Br 0.176 0.860 0.787
3 Br 0.423 0.251 0.905
4 Br 0.577 0.749 0.095
5 Br 0.824 0.140 0.213
6 N 0.391 0.778 0.442
7 N 0.609 0.222 0.558

Density functional theory data (GGA-PBE) for crystalline HfBrN at its relaxed geometry.

Properties
DOS(E_F) ... 0.00 states/eV per cell

Unit cell a=10.745 b=10.745 c=10.745 alpha=19.44 beta=19.44 gamma=19.44
Fractional coordinates of all 6 atoms:
1 Hf 0.207 0.207 0.207
2 Hf 0.793 0.793 0.793
3 Br 0.396 0.396 0.396
4 Br 0.604 0.604 0.604
5 N 0.139 0.139 0.139
6 N 0.861 0.861 0.861

Density functional theory data (GGA-PBE) for crystalline HfBr2N at its relaxed geometry.

Properties
ΔE to the lowest computed polymorph ... 1190 meV per atom
DOS(E_F) ... 6.06 states/eV per cell

Unit cell a=6.561 b=6.561 c=6.561 alpha=90.00 beta=90.00 gamma=90.00
Fractional coordinates of all 16 atoms:
1 Hf 0.000 0.000 0.000
2 Hf 0.000 0.500 0.500
3 Hf 0.500 0.000 0.500
4 Hf 0.500 0.500 0.000
5 Br 0.250 0.250 0.250
6 Br 0.250 0.250 0.750
7 Br 0.250 0.750 0.250
8 Br 0.250 0.750 0.750
9 Br 0.750 0.250 0.250
10 Br 0.750 0.250 0.750
11 Br 0.750 0.750 0.250
12 Br 0.750 0.750 0.750
13 N 0.000 0.000 0.500
14 N 0.000 0.500 0.000
15 N 0.500 0.000 0.000
16 N 0.500 0.500 0.500

Formation energy (no corrections) / eV/atom: 0.886, -1.434, -0.165, -1.703, 0.187, 0.536, -1.690, 0.598